## KReNi (PBE)

Data for an optimized crystal structure of KReNi.

Calculated values
- distance to the lowest polymorph of the same formula (eV/atom) = 0.141
- DFT formation energy (eV/atom) = 0.66
- space group = Cmcm, No. 63
- D(E_F) (states/eV/f.u.) = 2.104

a b c (Å): 6.558 6.558 4.946
angles (deg): 90.00 90.00 141.71
Sites, in units of the cell vectors:
1 K 0.719 0.281 0.250
2 Ni 0.470 0.530 0.250
3 Re 0.000 0.000 0.000
4 Re 0.000 0.000 0.500
5 Ni 0.530 0.470 0.750
6 K 0.281 0.719 0.750

---

## KReNi2 (PBE)

Data for an optimized crystal structure of KReNi2.

Calculated values
- distance to the lowest polymorph of the same formula (eV/atom) = 0.933
- DFT formation energy (eV/atom) = 1.40
- space group = Fm-3m, No. 225
- D(E_F) (states/eV/f.u.) = 1.702

a b c (Å): 4.482 4.482 4.482
angles (deg): 60.00 60.00 60.00
Sites, in units of the cell vectors:
1 Ni 0.250 0.250 0.250
2 Ni 0.750 0.750 0.750
3 K 0.000 0.000 0.000
4 Re 0.500 0.500 0.500

---

## KReNi (PBE)

Data for an optimized crystal structure of KReNi.

Calculated values
- distance to the lowest polymorph of the same formula (eV/atom) = 0.796
- DFT formation energy (eV/atom) = 1.32
- space group = P-6m2, No. 187
- D(E_F) (states/eV/f.u.) = 2.743

a b c (Å): 4.550 4.550 7.815
angles (deg): 90.00 90.00 120.00
Sites, in units of the cell vectors:
1 Ni 0.000 0.000 0.833
2 K 0.667 0.333 0.000
3 Ni 0.000 0.000 0.167
4 K 0.667 0.333 0.500
5 Re 0.333 0.667 0.148
6 Re 0.333 0.667 0.852

---

## KReNi (PBE)

Data for an optimized crystal structure of KReNi.

Calculated values
- distance to the lowest polymorph of the same formula (eV/atom) = 0.036
- DFT formation energy (eV/atom) = 0.56
- space group = P1, No. 1
- D(E_F) (states/eV/f.u.) = 3.004

a b c (Å): 12.192 3.508 3.844
angles (deg): 89.98 91.92 79.02
Sites, in units of the cell vectors:
1 K 0.264 0.806 0.820
2 Ni 0.017 0.343 0.796
3 Ni 0.863 0.944 0.782
4 Re 0.011 0.838 0.297
5 K 0.617 0.088 0.360
6 Re 0.872 0.431 0.280

---

## KReNi (PBE)

Data for an optimized crystal structure of KReNi.

Calculated values
- distance to the lowest polymorph of the same formula (eV/atom) = 0.000
- DFT formation energy (eV/atom) = 0.52
- space group = P-1, No. 2
- D(E_F) (states/eV/f.u.) = 2.476

a b c (Å): 12.880 3.738 2.787
angles (deg): 90.00 88.78 90.15
Sites, in units of the cell vectors:
1 Ni 0.145 0.251 0.704
2 Re 0.943 0.249 0.821
3 Re 0.057 0.751 0.179
4 K 0.334 0.753 0.210
5 Ni 0.855 0.749 0.296
6 K 0.666 0.247 0.790

---

## KReNi (PBE)

Data for an optimized crystal structure of KReNi.

Calculated values
- distance to the lowest polymorph of the same formula (eV/atom) = 0.074
- DFT formation energy (eV/atom) = 0.59
- space group = P1, No. 1
- D(E_F) (states/eV/f.u.) = 1.810

a b c (Å): 4.125 4.124 11.335
angles (deg): 89.43 88.88 60.00
Sites, in units of the cell vectors:
1 Ni 0.440 0.161 0.099
2 Ni 0.111 0.829 0.011
3 Re 0.780 0.495 0.981
4 Re 0.451 0.162 0.892
5 K 0.130 0.829 0.670
6 K 0.763 0.495 0.293

---

## KReNi2 (PBE)

Data for an optimized crystal structure of KReNi2.

Calculated values
- distance to the lowest polymorph of the same formula (eV/atom) = 0.261
- DFT formation energy (eV/atom) = 0.73
- space group = Pm, No. 6
- D(E_F) (states/eV/f.u.) = 5.131

a b c (Å): 4.090 2.621 7.190
angles (deg): 78.81 90.00 90.00
Sites, in units of the cell vectors:
1 Re 0.000 0.491 0.379
2 K 0.500 0.813 0.766
3 Ni 0.500 0.047 0.272
4 Ni 0.000 0.149 0.082

---

## KReNi (PBE)

Data for an optimized crystal structure of KReNi.

Calculated values
- distance to the lowest polymorph of the same formula (eV/atom) = 0.265
- DFT formation energy (eV/atom) = 0.78
- space group = Imm2, No. 44
- D(E_F) (states/eV/f.u.) = 2.723

a b c (Å): 6.634 6.634 6.634
angles (deg): 157.22 146.22 41.13
Sites, in units of the cell vectors:
1 Re 0.720 0.720 0.000
2 K 0.996 0.996 0.000
3 Ni 0.285 0.285 0.000

---

## KReNi2 (PBE)

Data for an optimized crystal structure of KReNi2.

Calculated values
- distance to the lowest polymorph of the same formula (eV/atom) = 1.068
- DFT formation energy (eV/atom) = 1.53
- space group = I-4m2, No. 119
- D(E_F) (states/eV/f.u.) = 5.730

a b c (Å): 5.287 5.287 5.287
angles (deg): 138.45 138.45 60.22
Sites, in units of the cell vectors:
1 Re 0.500 0.500 0.000
2 Ni 0.250 0.750 0.500
3 Ni 0.000 0.000 0.000
4 K 0.750 0.250 0.500

---

## KReNi (PBE)

Data for an optimized crystal structure of KReNi.

Calculated values
- distance to the lowest polymorph of the same formula (eV/atom) = 0.088
- DFT formation energy (eV/atom) = 0.61
- space group = P1, No. 1
- D(E_F) (states/eV/f.u.) = 3.926

a b c (Å): 3.022 4.521 11.948
angles (deg): 93.78 95.34 109.66
Sites, in units of the cell vectors:
1 Ni 0.900 0.983 0.109
2 Ni 0.148 0.526 0.045
3 K 0.788 0.096 0.665
4 Re 0.639 0.633 0.879
5 Re 0.395 0.088 0.954
6 K 0.724 0.486 0.296

---

## KReNi3 (PBE)

Data for an optimized crystal structure of KReNi3.

Calculated values
- distance to the lowest polymorph of the same formula (eV/atom) = 0.000
- DFT formation energy (eV/atom) = 1.07
- space group = Pm-3m, No. 221
- D(E_F) (states/eV/f.u.) = 6.491

a b c (Å): 4.657 4.657 4.657
angles (deg): 90.00 90.00 90.00
Sites, in units of the cell vectors:
1 Ni 0.000 0.000 0.500
2 Ni 0.500 0.000 0.000
3 Ni 0.000 0.500 0.000
4 K 0.500 0.500 0.500
5 Re 0.000 0.000 0.000

---

## KReNi (PBE)

Data for an optimized crystal structure of KReNi.

Calculated values
- distance to the lowest polymorph of the same formula (eV/atom) = 0.620
- DFT formation energy (eV/atom) = 1.14
- space group = Imma, No. 74
- D(E_F) (states/eV/f.u.) = 2.991

a b c (Å): 5.160 4.316 10.156
angles (deg): 90.00 90.00 90.00
Sites, in units of the cell vectors:
1 Ni 0.000 0.250 0.057
2 Re 0.000 0.250 0.815
3 K 0.500 0.750 0.898
4 K 0.500 0.250 0.102
5 Ni 0.500 0.250 0.443
6 Ni 0.500 0.750 0.557
7 Ni 0.000 0.750 0.943
8 K 0.000 0.250 0.398
9 Re 0.000 0.750 0.185
10 Re 0.500 0.250 0.685
11 K 0.000 0.750 0.602
12 Re 0.500 0.750 0.315

---

## KReNi2 (PBE)

Data for an optimized crystal structure of KReNi2.

Calculated values
- distance to the lowest polymorph of the same formula (eV/atom) = 0.302
- DFT formation energy (eV/atom) = 0.77
- space group = R3m, No. 160
- D(E_F) (states/eV/f.u.) = 5.356

a b c (Å): 9.839 9.839 9.839
angles (deg): 16.03 16.03 16.03
Sites, in units of the cell vectors:
1 Ni 0.986 0.986 0.986
2 K 0.745 0.745 0.745
3 Ni 0.252 0.252 0.252
4 Re 0.517 0.517 0.517

---

## KReNi (PBE)

Data for an optimized crystal structure of KReNi.

Calculated values
- distance to the lowest polymorph of the same formula (eV/atom) = 0.732
- DFT formation energy (eV/atom) = 1.25
- space group = P6_3/mmc, No. 194
- D(E_F) (states/eV/f.u.) = 5.046

a b c (Å): 3.942 3.942 11.339
angles (deg): 90.00 90.00 120.00
Sites, in units of the cell vectors:
1 K 0.000 0.000 0.500
2 Ni 0.667 0.333 0.250
3 Re 0.333 0.667 0.250
4 Re 0.667 0.333 0.750
5 K 0.000 0.000 0.000
6 Ni 0.333 0.667 0.750